1.
# LiTi2Tl

LiTi2Tl after structural relaxation (PBEsol, Alexandria).

* calculated formation energy: 1.6 eV/f.u.
* symmetry: No. 122

a = 5.038 Å, b = 5.892 Å, c = 5.892 Å
α = 79.47°, β = 64.69°, γ = 64.69°
Fractional coordinates of all 8 atoms:
1 Tl 0.000 0.000 0.000
2 Tl 0.750 0.500 0.500
3 Li 0.500 0.000 0.000
4 Li 0.250 0.500 0.500
5 Ti 0.875 0.991 0.509
6 Ti 0.375 0.009 0.491
7 Ti 0.616 0.509 0.009
8 Ti 0.134 0.491 0.991

2.
# FeSe2BrN

FeSe2BrN after structural relaxation (PBEsol, Alexandria).

* symmetry: No. 123
* E_form (uncorrected): 1.24 eV per atom

a = 4.591 Å, b = 4.591 Å, c = 5.117 Å
α = 90.00°, β = 90.00°, γ = 90.00°
Site moments in Bohr magnetons follow the coordinates.
Fractional coordinates of all 5 atoms:
1 N 0.500 0.500 0.500  1.82
2 Se 0.000 0.500 0.000  0.10
3 Se 0.500 0.000 0.000  0.10
4 Br 0.000 0.000 0.500  0.04
5 Fe 0.000 0.000 0.000  2.36